one) Entry from the Alexandria database: an optimized crystal structure of Hf2ScInH (PBE).

Unit cell a=4.421 b=4.421 c=4.501 alpha=90.00 beta=90.00 gamma=90.00
Space group P4/mmm (No. 123)
Inequivalent atoms, fractional coordinates:
1 Hf 0.000 0.500 0.000 x2
2 Sc 0.000 0.000 0.500 x1
3 In 0.500 0.500 0.500 x1
4 H 0.000 0.000 0.000 x1

Output
Volume: 17.595 A^3/atom
Density: 9.77 Mg/m³


two) Entry from the Alexandria database: an optimized crystal structure of Hf2ScInH (PBE).

Unit cell a=5.718 b=5.718 c=3.398 alpha=90.00 beta=90.00 gamma=90.00
Space group P4/mmm (No. 123)
Inequivalent atoms, fractional coordinates:
1 Hf 0.000 0.500 0.000 x2
2 Sc 0.000 0.000 0.500 x1
3 In 0.500 0.500 0.000 x1
4 H 0.500 0.500 0.500 x1

Output
Volume: 22.219 A^3/atom
Density: 7.74 Mg/m³


Name the most stable of them. one).


one) Entry from the Alexandria database: an optimized crystal structure of Hf2TiInH (PBE).

Unit cell a=4.195 b=4.195 c=4.813 alpha=90.00 beta=90.00 gamma=90.00
Space group P4/mmm (No. 123)
Inequivalent atoms, fractional coordinates:
1 Hf 0.000 0.500 0.000 x2
2 Ti 0.000 0.000 0.500 x1
3 In 0.500 0.500 0.500 x1
4 H 0.500 0.500 0.000 x1

Output
Volume: 16.941 A^3/atom
Density: 10.21 Mg/m³


two) Entry from the Alexandria database: an optimized crystal structure of Hf2TiInH (PBE).

Unit cell a=4.388 b=4.388 c=4.290 alpha=90.00 beta=90.00 gamma=90.00
Space group P4/mmm (No. 123)
Inequivalent atoms, fractional coordinates:
1 Hf 0.000 0.500 0.000 x2
2 Ti 0.000 0.000 0.500 x1
3 In 0.500 0.500 0.500 x1
4 H 0.000 0.000 0.000 x1

Output
Volume: 16.523 A^3/atom
Density: 10.47 Mg/m³


Name the most stable of them. two).